Compound: Y2TcAg
Source: the Alexandria database
Functional: GGA-PBE
Structure: relaxed

Computed properties:
DFT formation energy	-0.1777	eV/atom
E	-6.714	eV per atom
M_tot	0.00	μB/cell

abc: 3.4902 3.4902 7.3472
angles: 90.00 90.00 90.00
Positions (direct):
1 Y 0.0000 0.0000 0.2237
2 Y 0.0000 0.0000 0.7763
3 Tc 0.5000 0.5000 0.0000
4 Ag 0.5000 0.5000 0.5000